1.
# TaCrC2S

A crystal of TaCrC2S relaxed with PBEsol (SCAN, Alexandria).

Lattice parameters (Å, degrees): 3.908 3.908 5.781 90.00 90.00 90.00
Space group P4/mmm (No. 123)
One atom of each set of equivalent atoms:
Ta (0.000, 0.000, 0.000) (multiplicity 1)
Cr (0.000, 0.000, 0.500) (multiplicity 1)
C (0.000, 0.500, 0.000) (multiplicity 2)
S (0.500, 0.500, 0.500) (multiplicity 1)

Values from the calculation:
- formation energy from raw total energies (eV per formula unit) = 8.218



2.
# Ir2RuPt

A crystal of Ir2RuPt relaxed with PBEsol (SCAN, Alexandria).

Lattice parameters (Å, degrees): 2.708 3.825 5.433 90.00 90.00 90.00
Space group Pmmm (No. 47)
One atom of each set of equivalent atoms:
Ir (0.000, 0.000, 0.242) (multiplicity 2)
Ru (0.500, 0.500, 0.000) (multiplicity 1)
Pt (0.500, 0.500, 0.500) (multiplicity 1)

Values from the calculation:
- E_tot (eV/atom) = -61.80